# V3CrAg

An optimized crystal structure of V3CrAg (PBE, Alexandria via LeMat-Bulk).

Summary:
E_tot: -7.043 eV/atom
D(E_F): 9.035 states/eV/f.u.

```
data_V3CrAg
_space_group_name_H-M_alt 'P m -3 m'
_space_group_IT_number 221
_space_group_name_Hall '-P 4 2 3'
_cell_length_a 4.3326
_cell_length_b 4.3326
_cell_length_c 4.3326
_cell_angle_alpha 90.00
_cell_angle_beta 90.00
_cell_angle_gamma 90.00
loop_
_atom_site_label
_atom_site_type_symbol
_atom_site_fract_x
_atom_site_fract_y
_atom_site_fract_z
V1 V 0.0000 0.0000 0.5000
Cr1 Cr 0.0000 0.0000 0.0000
Ag1 Ag 0.5000 0.5000 0.5000
```

# TaVC3

An optimized crystal structure of TaVC3 (PBE, Alexandria via LeMat-Bulk).

Summary:
E_tot: -8.254 eV/atom
E above lowest polymorph: 0 meV/atom
D(E_F): 4.072 states/eV/f.u.

```
data_TaVC3
_space_group_name_H-M_alt 'P m -3 m'
_space_group_IT_number 221
_space_group_name_Hall '-P 4 2 3'
_cell_length_a 3.7833
_cell_length_b 3.7833
_cell_length_c 3.7833
_cell_angle_alpha 90.00
_cell_angle_beta 90.00
_cell_angle_gamma 90.00
loop_
_atom_site_label
_atom_site_type_symbol
_atom_site_fract_x
_atom_site_fract_y
_atom_site_fract_z
Ta1 Ta 0.0000 0.0000 0.0000
V1 V 0.5000 0.5000 0.5000
C1 C 0.0000 0.5000 0.5000
```

# Hf2MgIr3

An optimized crystal structure of Hf2MgIr3 (PBE, Alexandria via LeMat-Bulk).

Summary:
E_tot: -8.849 eV/atom
D(E_F): 2.270 states/eV/f.u.

```
data_Hf2MgIr3
_space_group_name_H-M_alt 'P 4/m m m'
_space_group_IT_number 123
_space_group_name_Hall '-P 4 2'
_cell_length_a 3.1291
_cell_length_b 3.1291
_cell_length_c 10.3747
_cell_angle_alpha 90.00
_cell_angle_beta 90.00
_cell_angle_gamma 90.00
loop_
_atom_site_label
_atom_site_type_symbol
_atom_site_fract_x
_atom_site_fract_y
_atom_site_fract_z
Hf1 Hf 0.0000 0.0000 0.1763
Mg1 Mg 0.0000 0.0000 0.5000
Ir1 Ir 0.5000 0.5000 0.0000
Ir2 Ir 0.5000 0.5000 0.3339
```

# BC2

An optimized crystal structure of BC2 (PBE, Alexandria via LeMat-Bulk).

Summary:
E_tot: -7.987 eV/atom
E above lowest polymorph: 148 meV/atom
D(E_F): 0.066 states/eV/f.u.

```
data_BC2
_space_group_name_H-M_alt 'P 1'
_space_group_IT_number 1
_cell_length_a 4.4043
_cell_length_b 4.5537
_cell_length_c 4.5630
_cell_angle_alpha 62.04
_cell_angle_beta 72.54
_cell_angle_gamma 77.27
loop_
_space_group_symop_operation_xyz
'x,y,z'
loop_
_atom_site_label
_atom_site_type_symbol
_atom_site_fract_x
_atom_site_fract_y
_atom_site_fract_z
B1 B 0.0000 0.0000 0.0000
B2 B 0.0123 0.3796 0.2103
B3 B 0.1142 0.9773 0.5118
B4 B 0.6292 0.2713 0.4399
C1 C 0.1481 0.3334 0.8615
C2 C 0.1621 0.6546 0.2250
C3 C 0.4948 0.9713 0.4438
C4 C 0.5090 0.3118 0.7856
C5 C 0.5375 0.6635 0.0844
C6 C 0.6293 0.6386 0.7302
C7 C 0.6307 0.9839 0.0671
C8 C 0.9992 0.6373 0.6088
```